[1]
A plane-wave DFT calculation with PBE was carried out for a relaxed Fe2Mo4C crystal.

The space group is Fd-3m (No. 227, origin choice 2) and the conventional cell measures 11.302, 11.302 and 11.302 Å, with angles of 90.00, 90.00 and 90.00 degrees. The inequivalent atoms are Fe at (0.045, 0.045, 0.205), Mo at (0.000, 0.000, 0.000), Mo at (0.065, 0.375, 0.875) and C at (0.000, 0.000, 0.500).

The calculation puts the total DFT energy (no corrections) at -1108.2 eV for the cell shown. The calculation puts the total moment at 10.68 Bohr magnetons per cell.

---

[2]
A plane-wave DFT calculation with PBE was carried out for a relaxed FeMo3CN crystal.

The space group is P-3m1 (No. 164) and the conventional cell measures 2.9587, 2.9587 and 18.7736 Å, with angles of 90.00, 90.00 and 120.00 degrees. The inequivalent atoms are Fe at (0.0000, 0.0000, 0.2490), Mo at (0.0000, 0.0000, 0.0000), Mo at (0.0000, 0.0000, 0.5000), Mo at (0.3333, 0.6667, 0.6432), Mo at (0.3333, 0.6667, 0.8644), C at (0.3333, 0.6667, 0.0720) and N at (0.3333, 0.6667, 0.4255).

The calculation puts the total DFT energy (no corrections) at -114.8 eV for the cell shown. The calculation puts the total moment at 3.87 Bohr magnetons per cell.

---

[3]
A plane-wave DFT calculation with PBE was carried out for a relaxed Fe2Mo8C3N3 crystal.

The space group is P-3m1 (No. 164) and the conventional cell measures 3.0471, 3.0471 and 23.1538 Å, with angles of 90.00, 90.00 and 120.00 degrees. The inequivalent atoms are Fe at (0.3333, 0.6667, 0.2523), Mo at (0.0000, 0.0000, 0.1597), Mo at (0.0000, 0.0000, 0.3373), Mo at (0.3333, 0.6667, 0.0580), Mo at (0.3333, 0.6667, 0.4435), C at (0.0000, 0.0000, 0.0000), C at (0.3333, 0.6667, 0.8863), N at (0.0000, 0.0000, 0.5000) and N at (0.3333, 0.6667, 0.6114).

The calculation puts the total DFT energy (no corrections) at -153.7 eV for the cell shown. The calculation puts the total moment at 4.04 Bohr magnetons per cell.

---

[4]
A plane-wave DFT calculation with PBE was carried out for a relaxed Nd2FeSi2MoC crystal.

The space group is Cm (No. 8) and the conventional cell measures 11.157, 3.958 and 7.205 Å, with angles of 90.00, 128.05 and 90.00 degrees. The inequivalent atoms are Nd at (0.000, 0.000, 0.000), Nd at (0.137, 0.000, 0.604), Fe at (0.368, 0.000, 0.217), Si at (0.236, 0.500, 0.016), Si at (0.428, 0.000, 0.602), Mo at (0.265, 0.500, 0.384) and C at (0.058, 0.500, 0.295).

The calculation puts the total DFT energy (no corrections) at -104.6 eV for the cell shown. The calculation puts the total moment at 0.78 Bohr magnetons per cell.

---

[5]
A plane-wave DFT calculation with PBE was carried out for a relaxed FeMo4PC2 crystal.

The space group is P-6m2 (No. 187) and the conventional cell measures 3.0910, 3.0910 and 12.3955 Å, with angles of 90.00, 90.00 and 120.00 degrees. The inequivalent atoms are Fe at (0.0000, 0.0000, 0.0000), Mo at (0.0000, 0.0000, 0.3556), Mo at (0.6667, 0.3333, 0.1667), P at (0.6667, 0.3333, 0.5000) and C at (0.3333, 0.6667, 0.2560).

The calculation puts the total DFT energy (no corrections) at -75.4 eV for the cell shown. The calculation puts the total moment at 2.38 Bohr magnetons per cell.

---

[6]
A plane-wave DFT calculation with PBE was carried out for a relaxed FeSbMo4C2 crystal.

The space group is P-6m2 (No. 187) and the conventional cell measures 3.1194, 3.1194 and 13.2315 Å, with angles of 90.00, 90.00 and 120.00 degrees. The inequivalent atoms are Fe at (0.0000, 0.0000, 0.0000), Sb at (0.3333, 0.6667, 0.5000), Mo at (0.0000, 0.0000, 0.3260), Mo at (0.3333, 0.6667, 0.1542) and C at (0.6667, 0.3333, 0.2413).

The calculation puts the total DFT energy (no corrections) at -72.9 eV for the cell shown. The calculation puts the total moment at 2.29 Bohr magnetons per cell.

---

> Which formula does entry 1 have?

Fe2Mo4C

---

> The highest total moment belongs to which entry?

Fe2Mo4C